No. 1
ScNi2Sn after structural relaxation. Source: OQMD, functional PBE-GGA.

Lattice parameters (Å, degrees): 4.4624 4.4624 4.4624 60.00 60.00 60.00
Last column: nearest neighbours and their distance in Å.
Element x y z (fractional)
Sc: 0.0000 0.0000 0.0000  4 Sn 2.73, 4 Ni 2.73
Ni: 0.2500 0.2500 0.2500  4 Ni 2.73, 4 Sc 2.73
Ni: 0.5000 0.5000 0.5000  4 Sn 2.73, 4 Ni 2.73
Sn: 0.7500 0.7500 0.7500  4 Sc 2.73, 4 Ni 2.73

## Properties
Calculated total energy, eV per atom: -5.6249
V, Å³ per cell: 63



No. 2
ScNi2Sn after structural relaxation. Source: OQMD, functional PBE-GGA.

Lattice parameters (Å, degrees): 5.4794 5.4794 5.4794 112.83 102.96 112.82
Last column: nearest neighbours and their distance in Å.
Element x y z (fractional)
Sc: 0.2496 0.9996 0.2500  8 Ni 2.74, 4 Sn 3.03-3.04
Sc: 0.7504 0.0004 0.7500  8 Ni 2.74, 4 Sn 3.03-3.04
Ni: 0.2508 0.0000 0.7508  4 Sn 2.74, 4 Sc 2.74, 4 Ni 3.03
Ni: 0.2508 0.5000 0.2508  4 Sn 2.74, 4 Sc 2.74, 4 Ni 3.03
Ni: 0.7492 0.0000 0.2492  4 Sn 2.74, 4 Sc 2.74, 4 Ni 3.03
Ni: 0.7492 0.5000 0.7492  4 Sn 2.74, 4 Sc 2.74, 4 Ni 3.03
Sn: 0.2497 0.4997 0.7500  8 Ni 2.74, 4 Sc 3.03-3.04
Sn: 0.7503 0.5003 0.2500  8 Ni 2.74, 4 Sc 3.03-3.04

## Properties
Calculated total energy, eV per atom: -5.7986
V, Å³ per cell: 125



No. 3
ScNi2Sn after structural relaxation. Source: OQMD, functional PBE-GGA.

Lattice parameters (Å, degrees): 4.2971 4.2971 3.4239 90.00 90.00 90.00
Last column: nearest neighbours and their distance in Å.
Element x y z (fractional)
Sc: 0.0000 0.0000 0.0000  8 Ni 2.75, 4 Sn 3.04
Ni: 0.0000 0.5000 0.5000  4 Sn 2.75, 4 Sc 2.75, 4 Ni 3.04
Ni: 0.5000 0.0000 0.5000  4 Sn 2.75, 4 Sc 2.75, 4 Ni 3.04
Sn: 0.5000 0.5000 0.0000  8 Ni 2.75, 4 Sc 3.04

## Properties
Calculated total energy, eV per atom: -5.7998
V, Å³ per cell: 63



No. 4
ScNiSn2 after structural relaxation. Source: OQMD, functional PBE-GGA.

Lattice parameters (Å, degrees): 4.8728 4.8728 4.8728 60.00 60.00 60.00
Last column: nearest neighbours and their distance in Å.
Element x y z (fractional)
Sc: 0.0000 0.0000 0.0000  4 Ni 2.98, 4 Sn 2.98
Ni: 0.7500 0.7500 0.7500  4 Sn 2.98, 4 Sc 2.98
Sn: 0.2500 0.2500 0.2500  4 Sn 2.98, 4 Sc 2.98
Sn: 0.5000 0.5000 0.5000  4 Sn 2.98, 4 Ni 2.98

## Properties
Calculated total energy, eV per atom: -5.0305
V, Å³ per cell: 82



No. 5
Sc2NiSn after structural relaxation. Source: OQMD, functional PBE-GGA.

Lattice parameters (Å, degrees): 4.7432 4.7432 4.7432 60.00 60.00 60.00
Last column: nearest neighbours and their distance in Å.
Element x y z (fractional)
Sc: 0.0000 0.0000 0.0000  4 Sn 2.90, 4 Sc 2.90
Sc: 0.2500 0.2500 0.2500  4 Ni 2.90, 4 Sc 2.90
Ni: 0.5000 0.5000 0.5000  4 Sn 2.90, 4 Sc 2.90
Sn: 0.7500 0.7500 0.7500  4 Ni 2.90, 4 Sc 2.90

## Properties
Calculated total energy, eV per atom: -5.7622
V, Å³ per cell: 75



No. 6
Sc2NiSn2 after structural relaxation. Source: OQMD, functional PBE-GGA.

Lattice parameters (Å, degrees): 7.2416 7.2416 7.2416 146.24 146.24 48.49
Last column: nearest neighbours and their distance in Å.
Element x y z (fractional)
Sc: 0.2500 0.7500 0.5000  4 Sn 2.90, 4 Sc 2.97
Sc: 0.7500 0.2500 0.5000  4 Sn 2.90, 4 Sc 2.97
Ni: 0.0000 0.0000 0.0000  8 Sn 3.25
Sn: 0.4016 0.4016 0.0000  1 Sn 2.60, 4 Sc 2.90
Sn: 0.5984 0.5984 0.0000  1 Sn 2.60, 4 Sc 2.90

## Properties
Calculated total energy, eV per atom: -4.8952
V, Å³ per cell: 117



No. 7
ScNi2Sn2 after structural relaxation. Source: OQMD, functional PBE-GGA.

Lattice parameters (Å, degrees): 5.7438 5.7438 5.7438 135.05 135.05 65.45
Last column: nearest neighbours and their distance in Å.
Element x y z (fractional)
Sc: 0.0000 0.0000 0.0000  8 Sn 3.26, 8 Ni 3.31
Ni: 0.3822 0.3822 0.0000  1 Ni 2.28, 4 Sn 2.54
Ni: 0.6178 0.6178 0.0000  1 Ni 2.28, 4 Sn 2.54
Sn: 0.2500 0.7500 0.5000  4 Ni 2.54
Sn: 0.7500 0.2500 0.5000  4 Ni 2.54

## Properties
Calculated total energy, eV per atom: -5.3226
V, Å³ per cell: 93



No. 8
ScNi2Sn after structural relaxation. Source: OQMD, functional PBE-GGA.

Lattice parameters (Å, degrees): 3.2605 3.2605 5.9836 90.00 90.00 90.00
Last column: nearest neighbours and their distance in Å.
Element x y z (fractional)
Sc: 0.0000 0.0000 0.0000  8 Ni 2.73, 2 Sn 2.99
Ni: 0.5000 0.5000 0.2434  4 Sc 2.73, 4 Sn 2.77, 1 Ni 2.91
Ni: 0.5000 0.5000 0.7566  4 Sc 2.73, 4 Sn 2.77, 1 Ni 2.91
Sn: 0.0000 0.0000 0.5000  8 Ni 2.77, 2 Sc 2.99

## Properties
Calculated total energy, eV per atom: -5.7452
V, Å³ per cell: 64



No. 9
ScNi2Sn after structural relaxation. Source: OQMD, functional PBE-GGA.

Lattice parameters (Å, degrees): 4.4628 4.4628 4.4628 60.00 60.00 60.00
Last column: nearest neighbours and their distance in Å.
Element x y z (fractional)
Sc: 0.0000 0.0000 0.0000  4 Ni 2.73, 4 Sn 2.73
Ni: 0.5000 0.5000 0.5000  4 Sn 2.73, 4 Ni 2.73
Ni: 0.7500 0.7500 0.7500  4 Ni 2.73, 4 Sc 2.73
Sn: 0.2500 0.2500 0.2500  4 Ni 2.73, 4 Sc 2.73

## Properties
Calculated total energy, eV per atom: -5.6249
V, Å³ per cell: 63



No. 10
Sc2NiSn2 after structural relaxation. Source: OQMD, functional PBE-GGA.

Lattice parameters (Å, degrees): 7.6016 7.6016 7.6016 149.16 149.16 44.18
Last column: nearest neighbours and their distance in Å.
Element x y z (fractional)
Sc: 0.0966 0.0966 0.0000  1 Sc 2.72, 4 Sn 2.96
Sc: 0.9034 0.9034 0.0000  1 Sc 2.72, 4 Sn 2.96
Ni: 0.5000 0.5000 0.0000  8 Sc 3.17
Sn: 0.2500 0.7500 0.5000  4 Sn 2.86, 4 Sc 2.96
Sn: 0.7500 0.2500 0.5000  4 Sn 2.86, 4 Sc 2.96

## Properties
Calculated total energy, eV per atom: -5.0244
V, Å³ per cell: 115



No. 11
TbScNi2Sn2 after structural relaxation. Source: OQMD, functional PBE-GGA.

Lattice parameters (Å, degrees): 4.4459 4.4459 6.9417 90.00 90.00 120.00
Last column: nearest neighbours and their distance in Å.
Element x y z (fractional)
Tb: 0.0000 0.0000 0.0000  6 Sn 3.20, 6 Ni 3.35-3.37, 2 Sc 3.47
Sc: 0.0000 0.0000 0.4999  6 Ni 2.87-2.88, 6 Sn 3.00-3.01
Ni: 0.3333 0.6667 0.3135  4 Sn 2.58-2.86, 3 Sc 2.87
Ni: 0.6667 0.3333 0.6892  4 Sn 2.58-2.87, 3 Sc 2.88
Sn: 0.3333 0.6667 0.7250  4 Ni 2.58-2.86
Sn: 0.6667 0.3333 0.2758  4 Ni 2.58-2.87

## Properties
Calculated total energy, eV per atom: -5.6711
V, Å³ per cell: 119



No. 12
ScTcNiSn after structural relaxation. Source: OQMD, functional PBE-GGA.

Lattice parameters (Å, degrees): 4.5722 4.5722 4.5722 60.00 60.00 60.00
Last column: nearest neighbours and their distance in Å.
Element x y z (fractional)
Sc: 0.0000 0.0000 0.0000  4 Tc 2.80, 4 Sn 2.80
Tc: 0.7500 0.7500 0.7500  4 Ni 2.80, 4 Sc 2.80
Ni: 0.5000 0.5000 0.5000  4 Tc 2.80, 4 Sn 2.80
Sn: 0.2500 0.2500 0.2500  4 Ni 2.80, 4 Sc 2.80

## Properties
Calculated total energy, eV per atom: -6.4488
V, Å³ per cell: 68



> The lowest calculated total energy belongs to which entry?

ScTcNiSn



Please write out number 8 again, unchanged.
ScNi2Sn after structural relaxation. Source: OQMD, functional PBE-GGA.

Lattice parameters (Å, degrees): 3.2605 3.2605 5.9836 90.00 90.00 90.00
Last column: nearest neighbours and their distance in Å.
Element x y z (fractional)
Sc: 0.0000 0.0000 0.0000  8 Ni 2.73, 2 Sn 2.99
Ni: 0.5000 0.5000 0.2434  4 Sc 2.73, 4 Sn 2.77, 1 Ni 2.91
Ni: 0.5000 0.5000 0.7566  4 Sc 2.73, 4 Sn 2.77, 1 Ni 2.91
Sn: 0.0000 0.0000 0.5000  8 Ni 2.77, 2 Sc 2.99

## Properties
Calculated total energy, eV per atom: -5.7452
V, Å³ per cell: 64



> Which formula does entry 7 have?

ScNi2Sn2